# 1
# PBE Ca2GeBi2, relaxed
data_Ca2GeBi2
_symmetry_space_group_name_H-M 'P 1'
_symmetry_Int_Tables_number 1
_symmetry_space_group_name_Hall 'P 1'
_cell_length_a 8.7302
_cell_length_b 8.7302
_cell_length_c 4.0008
_cell_angle_alpha 90.00
_cell_angle_beta 90.00
_cell_angle_gamma 90.00
loop_
_atom_site_label
_atom_site_type_symbol
_atom_site_fract_x
_atom_site_fract_y
_atom_site_fract_z
Ge1 Ge 0.0000 0.0000 0.0000
Ge2 Ge 0.5000 0.5000 0.0000
Ca1 Ca 0.3635 0.8635 0.0000
Ca2 Ca 0.8635 0.6365 0.0000
Ca3 Ca 0.6365 0.1365 0.0000
Ca4 Ca 0.1365 0.3635 0.0000
Bi1 Bi 0.1717 0.6717 0.5000
Bi2 Bi 0.6717 0.8283 0.5000
Bi3 Bi 0.8283 0.3283 0.5000
Bi4 Bi 0.3283 0.1717 0.5000
# Offset from the most stable computed form: 0.1982 eV per atom
# Symmetry: P4/mbm (127)
# Energy: -3.524 eV per atom
# Calculated formation energy: -0.2471 eV per atom

# 2
# PBE Ca2Ge2Bi, relaxed
data_Ca2Ge2Bi
_symmetry_space_group_name_H-M 'P 1'
_symmetry_Int_Tables_number 1
_symmetry_space_group_name_Hall 'P 1'
_cell_length_a 4.3701
_cell_length_b 4.0357
_cell_length_c 7.7980
_cell_angle_alpha 105.00
_cell_angle_beta 90.00
_cell_angle_gamma 90.00
loop_
_atom_site_label
_atom_site_type_symbol
_atom_site_fract_x
_atom_site_fract_y
_atom_site_fract_z
Ca1 Ca 0.5000 0.6335 0.2671
Ca2 Ca 0.5000 0.3665 0.7329
Ge1 Ge 0.0000 0.1989 0.3978
Ge2 Ge 0.0000 0.8011 0.6022
Bi1 Bi 0.0000 0.0000 0.0000
# Offset from the most stable computed form: 0.0141 eV per atom
# Symmetry: Cmmm (65)
# Energy: -3.992 eV per atom
# Calculated formation energy: -0.5685 eV per atom

- Which of these has the lowest calculated formation energy?
  Ca2Ge2Bi